DFT (SCAN) results for CuHg at its PBEsol-relaxed geometry.

It has space group P6_3/mmc (No. 194), with a = 3.0038 Å, b = 3.0038 Å, c = 8.3961 Å, α = 90.00°, β = 90.00° and γ = 120.00°. The inequivalent atoms are Cu at (0.3333, 0.6667, 0.2500) and Hg at (0.0000, 0.0000, 0.0000).

The value obtained for the final energy is -1.5220 hartree per atom. The calculation puts the energy of formation at 0.267 eV/atom.